# ScZn2Se, optimized geometry, DFT PBE
data_ScZn2Se
_space_group_name_H-M_alt 'I -4 m 2'
_space_group_IT_number 119
_space_group_name_Hall 'I -4 -2'
_cell_length_a 4.0790
_cell_length_b 4.0790
_cell_length_c 8.6995
_cell_angle_alpha 90.00
_cell_angle_beta 90.00
_cell_angle_gamma 90.00
loop_
_atom_site_label
_atom_site_type_symbol
_atom_site_fract_x
_atom_site_fract_y
_atom_site_fract_z
Sc1 Sc 0.0000 0.0000 0.0000
Zn1 Zn 0.0000 0.0000 0.5000
Zn2 Zn 0.0000 0.5000 0.7500
Se1 Se 0.0000 0.5000 0.2500
# E (eV/atom): -3.542
# Uncorrected formation energy (eV per atom): -0.45